No. 1
! BaSrCa2Pt (GGA-PBE, optimized geometry); values from VASP
&SYSTEM
  ibrav = 0, nat = 5, ntyp = 4
/
ATOMIC_SPECIES
Ca 40.08 Ca.upf
Sr 87.62 Sr.upf
Ba 137.33 Ba.upf
Pt 195.08 Pt.upf
CELL_PARAMETERS angstrom
5.800 0.000 0.000
0.000 5.800 0.000
0.000 0.000 6.038
ATOMIC_POSITIONS crystal
Ca 0.000 0.500 0.000
Ca 0.500 0.000 0.000
Sr 0.000 0.000 0.500
Ba 0.500 0.500 0.500
Pt 0.000 0.000 0.000
! DOS at the Fermi energy = 0.805 states/eV per atom
! Space-group type = P4/mmm, No. 123
! Calculated volume = 40.63 Å³ per atom
! Distance to the lowest polymorph of the same formula = 0.0 kJ/mol of atoms
! Energy of formation from the pure elements = -42.1 kJ/mol of atoms

=====

No. 2
! CaDyY2 (GGA-PBE, optimized geometry); values from VASP
&SYSTEM
  ibrav = 0, nat = 4, ntyp = 3
/
ATOMIC_SPECIES
Dy 162.50 Dy.upf
Y 88.91 Y.upf
Ca 40.08 Ca.upf
CELL_PARAMETERS angstrom
5.764 0.000 0.000
2.882 4.991 0.000
2.882 1.664 4.706
ATOMIC_POSITIONS crystal
Dy 0.500 0.500 0.500
Y 0.250 0.250 0.250
Y 0.750 0.750 0.750
Ca 0.000 0.000 0.000
! DOS at the Fermi energy = 2.201 states/eV per atom
! Space-group type = Fm-3m, No. 225
! Calculated volume = 33.85 Å³ per atom
! Distance to the lowest polymorph of the same formula = 10.4 kJ/mol of atoms
! Energy of formation from the pure elements = 16.1 kJ/mol of atoms

=====

No. 3
! Pm4Sm5Sc2 (GGA-PBE, optimized geometry); values from VASP
&SYSTEM
  ibrav = 0, nat = 11, ntyp = 3
/
ATOMIC_SPECIES
Sm 150.36 Sm.upf
Sc 44.96 Sc.upf
Pm 145.00 Pm.upf
CELL_PARAMETERS angstrom
-2.959 1.856 0.208
-0.606 -2.219 11.148
6.731 7.870 -3.878
ATOMIC_POSITIONS crystal
Sm 0.821 0.536 0.643
Sm 0.821 0.106 0.643
Sm 0.500 0.000 0.000
Sm 0.179 0.464 0.357
Sm 0.179 0.894 0.357
Sc 0.783 0.783 0.566
Sc 0.217 0.217 0.434
Pm 0.409 0.409 0.818
Pm 0.591 0.591 0.182
Pm 0.000 0.265 0.000
Pm 0.000 0.735 0.000
! DOS at the Fermi energy = 1.355 states/eV per atom
! Space-group type = Immm, No. 71
! Calculated volume = 33.74 Å³ per atom
! Distance to the lowest polymorph of the same formula = 13.8 kJ/mol of atoms
! Energy of formation from the pure elements = 23.9 kJ/mol of atoms

=====

No. 4
! KBiAs (GGA-PBE, optimized geometry); values from VASP
&SYSTEM
  ibrav = 0, nat = 3, ntyp = 3
/
ATOMIC_SPECIES
Bi 208.98 Bi.upf
K 39.10 K.upf
As 74.92 As.upf
CELL_PARAMETERS angstrom
5.132 0.000 0.000
0.000 4.972 0.000
0.000 -2.486 4.306
ATOMIC_POSITIONS crystal
Bi 0.167 0.000 0.000
K 0.666 0.667 0.333
As 0.167 0.333 0.667
! DOS at the Fermi energy = 0.589 states/eV per atom
! Space-group type = P-6m2, No. 187
! Calculated volume = 36.63 Å³ per atom
! Distance to the lowest polymorph of the same formula = 0.4 kJ/mol of atoms
! Energy of formation from the pure elements = -23.0 kJ/mol of atoms

=====

No. 5
! Pr2Sm6In (GGA-PBE, optimized geometry); values from VASP
&SYSTEM
  ibrav = 0, nat = 18, ntyp = 3
/
ATOMIC_SPECIES
Sm 150.36 Sm.upf
Pr 140.91 Pr.upf
In 114.82 In.upf
CELL_PARAMETERS angstrom
5.577 0.000 0.266
0.000 10.166 0.000
-0.510 0.000 10.540
ATOMIC_POSITIONS crystal
Sm 0.500 0.862 0.392
Sm 0.500 0.182 0.933
Sm 0.500 0.479 0.684
Sm 0.000 0.362 0.108
Sm 0.500 0.521 0.316
Sm 0.500 0.818 0.067
Sm 0.000 0.638 0.892
Sm 0.000 0.979 0.816
Sm 0.500 0.138 0.608
Sm 0.000 0.318 0.433
Sm 0.000 0.682 0.567
Sm 0.000 0.021 0.184
Pr 0.500 0.197 0.259
Pr 0.500 0.803 0.741
Pr 0.000 0.697 0.241
Pr 0.000 0.303 0.759
In 0.000 0.000 0.500
In 0.500 0.500 0.000
! DOS at the Fermi energy = 1.363 states/eV per atom
! Space-group type = P2_1/c, No. 14
! Calculated volume = 33.27 Å³ per atom
! Distance to the lowest polymorph of the same formula = 4.4 kJ/mol of atoms
! Energy of formation from the pure elements = -3.6 kJ/mol of atoms

=====

No. 6
! PtRh2Br (GGA-PBE, optimized geometry); values from VASP
&SYSTEM
  ibrav = 0, nat = 4, ntyp = 3
/
ATOMIC_SPECIES
Br 79.90 Br.upf
Pt 195.08 Pt.upf
Rh 102.91 Rh.upf
CELL_PARAMETERS angstrom
5.410 0.012 -0.002
2.420 4.839 0.002
-3.175 -3.620 2.467
ATOMIC_POSITIONS crystal
Br 0.750 0.250 0.500
Pt 0.250 0.750 0.500
Rh 0.994 0.994 0.000
Rh 0.506 0.506 0.000
! DOS at the Fermi energy = 1.219 states/eV per atom
! Space-group type = Immm, No. 71
! Calculated volume = 16.13 Å³ per atom
! Distance to the lowest polymorph of the same formula = 29.8 kJ/mol of atoms
! Uncorrected formation energy = 0.607 eV/atom

=====

No. 7
! LaYMo2 (GGA-PBE, optimized geometry); values from VASP
&SYSTEM
  ibrav = 0, nat = 4, ntyp = 3
/
ATOMIC_SPECIES
Y 88.91 Y.upf
Mo 95.94 Mo.upf
La 138.91 La.upf
CELL_PARAMETERS angstrom
-0.482 -2.637 5.498
2.743 -3.686 4.037
2.815 1.994 4.782
ATOMIC_POSITIONS crystal
Y 0.750 0.750 0.750
Mo 0.506 0.506 0.385
Mo 0.994 0.994 0.115
La 0.250 0.250 0.250
! DOS at the Fermi energy = 0.932 states/eV per atom
! Space-group type = C2/m, No. 12
! Calculated volume = 26.03 Å³ per atom
! Distance to the lowest polymorph of the same formula = 29.9 kJ/mol of atoms
! Energy of formation from the pure elements = 47.6 kJ/mol of atoms

=====

No. 8
! Li2TaSi2 (GGA-PBE, optimized geometry); values from VASP
&SYSTEM
  ibrav = 0, nat = 10, ntyp = 3
/
ATOMIC_SPECIES
Li 6.94 Li.upf
Si 28.09 Si.upf
Ta 180.95 Ta.upf
CELL_PARAMETERS angstrom
7.186 0.000 0.000
0.000 7.186 0.000
0.000 0.000 2.829
ATOMIC_POSITIONS crystal
Li 0.371 0.129 0.500
Li 0.629 0.871 0.500
Li 0.871 0.371 0.500
Li 0.129 0.629 0.500
Si 0.670 0.170 0.000
Si 0.170 0.330 0.000
Si 0.830 0.670 0.000
Si 0.330 0.830 0.000
Ta 0.000 0.000 0.000
Ta 0.500 0.500 0.000
! DOS at the Fermi energy = 0.281 states/eV per atom
! Space-group type = P4/mbm, No. 127
! Calculated volume = 14.61 Å³ per atom
! Uncorrected formation energy = -0.036 eV/atom

=====

No. 9
! YHSe (GGA-PBE, optimized geometry); values from VASP
&SYSTEM
  ibrav = 0, nat = 6, ntyp = 3
/
ATOMIC_SPECIES
Y 88.91 Y.upf
Se 78.96 Se.upf
H 1.01 H.upf
CELL_PARAMETERS angstrom
-3.332 -2.718 -0.671
1.709 -2.811 2.849
-3.936 -0.058 5.635
ATOMIC_POSITIONS crystal
Y 0.254 0.194 0.408
Y 0.554 0.494 0.809
Se 0.404 0.844 0.108
Se 0.904 0.344 0.108
H 0.154 0.595 0.608
H 0.654 0.094 0.609
! DOS at the Fermi energy = 0.250 states/eV per atom
! Space-group type = Fmmm, No. 69
! Calculated volume = 19.40 Å³ per atom
! Distance to the lowest polymorph of the same formula = 61.5 kJ/mol of atoms

=====

No. 10
! LiIN2F (GGA-PBE, optimized geometry); values from VASP
&SYSTEM
  ibrav = 0, nat = 5, ntyp = 4
/
ATOMIC_SPECIES
F 19.00 F.upf
N 14.01 N.upf
I 126.90 I.upf
Li 6.94 Li.upf
CELL_PARAMETERS angstrom
-2.959 1.454 1.692
-1.083 -3.393 1.023
3.157 0.522 5.074
ATOMIC_POSITIONS crystal
F 0.500 0.500 0.500
N 0.000 0.500 0.000
N 0.500 0.000 0.000
I 0.000 0.000 0.500
Li 0.000 0.000 0.000
! DOS at the Fermi energy = 0.666 states/eV per atom
! Space-group type = P4/mmm, No. 123
! Calculated volume = 16.47 Å³ per atom
! Distance to the lowest polymorph of the same formula = 73.8 kJ/mol of atoms
! Uncorrected formation energy = 1.498 eV/atom

=====

No. 11
! CaCoW2 (GGA-PBE, optimized geometry); values from VASP
&SYSTEM
  ibrav = 0, nat = 4, ntyp = 3
/
ATOMIC_SPECIES
Co 58.93 Co.upf
W 183.84 W.upf
Ca 40.08 Ca.upf
CELL_PARAMETERS angstrom
9.739 0.010 0.006
9.321 2.824 0.006
9.321 1.386 2.461
ATOMIC_POSITIONS crystal
Co 0.750 0.750 0.750
W 0.012 0.012 0.012
W 0.488 0.488 0.488
Ca 0.250 0.250 0.250
! DOS at the Fermi energy = 1.275 states/eV per atom
! Space-group type = R-3m, No. 166
! Calculated volume = 16.82 Å³ per atom
! Distance to the lowest polymorph of the same formula = 28.5 kJ/mol of atoms
! Energy of formation from the pure elements = 75.1 kJ/mol of atoms

=====

No. 12
! TlCuS (GGA-PBE, optimized geometry); values from VASP
&SYSTEM
  ibrav = 0, nat = 3, ntyp = 3
/
ATOMIC_SPECIES
Cu 63.55 Cu.upf
Tl 204.38 Tl.upf
S 32.06 S.upf
CELL_PARAMETERS angstrom
-3.641 -3.345 -0.269
1.575 -1.958 3.020
-2.647 2.828 0.658
ATOMIC_POSITIONS crystal
Cu 0.167 0.333 0.667
Tl 0.667 0.667 0.333
S 0.167 0.000 0.000
! DOS at the Fermi energy = 0.249 states/eV per atom
! Space-group type = P-6m2, No. 187
! Calculated volume = 22.06 Å³ per atom
! Uncorrected formation energy = -0.281 eV/atom

=====

No. 13
! FeSi2Mo (GGA-PBE, optimized geometry); values from VASP
&SYSTEM
  ibrav = 0, nat = 4, ntyp = 3
/
ATOMIC_SPECIES
Fe 55.84 Fe.upf
Mo 95.94 Mo.upf
Si 28.09 Si.upf
CELL_PARAMETERS angstrom
-1.372 -3.625 -0.210
0.694 -0.086 -3.059
4.280 -1.586 -0.589
ATOMIC_POSITIONS crystal
Fe 0.000 0.494 0.389
Mo 0.500 0.759 0.856
Si 0.000 0.213 0.949
Si 0.500 0.035 0.305
! DOS at the Fermi energy = 0.514 states/eV per atom
! Space-group type = Amm2, No. 38
! Calculated volume = 13.18 Å³ per atom
! Uncorrected formation energy = -0.224 eV/atom

=====

No. 14
! SrMoPt (GGA-PBE, optimized geometry); values from VASP
&SYSTEM
  ibrav = 0, nat = 12, ntyp = 3
/
ATOMIC_SPECIES
Mo 95.94 Mo.upf
Pt 195.08 Pt.upf
Sr 87.62 Sr.upf
CELL_PARAMETERS angstrom
-2.263 6.892 2.784
0.066 -1.719 4.309
7.066 2.036 0.704
ATOMIC_POSITIONS crystal
Mo 0.648 0.750 0.917
Mo 0.852 0.250 0.417
Mo 0.148 0.750 0.583
Mo 0.352 0.250 0.083
Pt 0.180 0.250 0.397
Pt 0.320 0.750 0.897
Pt 0.680 0.250 0.103
Pt 0.820 0.750 0.603
Sr 0.003 0.750 0.168
Sr 0.503 0.750 0.332
Sr 0.497 0.250 0.668
Sr 0.997 0.250 0.832
! DOS at the Fermi energy = 0.472 states/eV per atom
! Space-group type = Pnma, No. 62
! Calculated volume = 22.19 Å³ per atom
! Distance to the lowest polymorph of the same formula = 16.4 kJ/mol of atoms
! Energy of formation from the pure elements = 3.6 kJ/mol of atoms

=====

No. 15
! Cr2CdRu (GGA-PBE, optimized geometry); values from VASP
&SYSTEM
  ibrav = 0, nat = 4, ntyp = 3
/
ATOMIC_SPECIES
Cr 52.00 Cr.upf
Cd 112.41 Cd.upf
Ru 101.07 Ru.upf
CELL_PARAMETERS angstrom
-2.415 -1.500 3.371
0.688 -4.143 -1.346
3.426 2.672 0.756
ATOMIC_POSITIONS crystal
Cr 0.000 0.000 0.000
Cr 0.250 0.750 0.500
Cd 0.750 0.250 0.500
Ru 0.500 0.500 0.000
! DOS at the Fermi energy = 0.899 states/eV per atom
! Space-group type = F-43m, No. 216
! Calculated volume = 15.15 Å³ per atom
! Energy of formation from the pure elements = 40.5 kJ/mol of atoms

=====

No. 16
! Pm3Sn2Ge (GGA-PBE, optimized geometry); values from VASP
&SYSTEM
  ibrav = 0, nat = 12, ntyp = 3
/
ATOMIC_SPECIES
Sn 118.71 Sn.upf
Pm 145.00 Pm.upf
Ge 72.64 Ge.upf
CELL_PARAMETERS angstrom
-3.025 5.077 -2.054
-3.437 -4.116 -5.112
-3.343 -2.909 7.262
ATOMIC_POSITIONS crystal
Sn 0.327 0.914 0.657
Sn 0.330 0.414 0.657
Sn 0.670 0.586 0.343
Sn 0.673 0.086 0.343
Pm 0.847 0.423 0.691
Pm 0.499 0.750 0.000
Pm 0.156 0.077 0.309
Pm 0.501 0.250 0.000
Pm 0.153 0.577 0.309
Pm 0.844 0.923 0.691
Ge 0.002 0.250 0.000
Ge 0.998 0.750 0.000
! DOS at the Fermi energy = 0.678 states/eV per atom
! Space-group type = C2/c, No. 15
! Calculated volume = 29.72 Å³ per atom
! Distance to the lowest polymorph of the same formula = 8.6 kJ/mol of atoms
! Energy of formation from the pure elements = -59.1 kJ/mol of atoms

=====

No. 17
! LuVCu4 (GGA-PBE, optimized geometry); values from VASP
&SYSTEM
  ibrav = 0, nat = 6, ntyp = 3
/
ATOMIC_SPECIES
V 50.94 V.upf
Cu 63.55 Cu.upf
Lu 174.97 Lu.upf
CELL_PARAMETERS angstrom
-2.742 -4.090 0.951
-0.904 -3.317 -3.651
2.185 -4.513 0.115
ATOMIC_POSITIONS crystal
V 0.250 0.250 0.250
Cu 0.127 0.624 0.624
Cu 0.624 0.127 0.624
Cu 0.624 0.624 0.127
Cu 0.624 0.624 0.624
Lu 0.000 0.000 0.000
! DOS at the Fermi energy = 1.407 states/eV per atom
! Space-group type = F-43m, No. 216
! Calculated volume = 14.87 Å³ per atom
! Energy of formation from the pure elements = -0.6 kJ/mol of atoms

=====

No. 18
! RbAc2PbO4 (GGA-PBE, optimized geometry); values from VASP
&SYSTEM
  ibrav = 0, nat = 16, ntyp = 4
/
ATOMIC_SPECIES
Rb 85.47 Rb.upf
Ac 227.00 Ac.upf
O 16.00 O.upf
Pb 207.20 Pb.upf
CELL_PARAMETERS angstrom
3.965 0.000 0.000
-1.982 6.983 0.000
0.000 0.000 13.308
ATOMIC_POSITIONS crystal
Rb 0.983 0.967 0.250
Rb 0.017 0.033 0.750
Ac 0.634 0.267 0.451
Ac 0.366 0.733 0.951
Ac 0.366 0.733 0.549
Ac 0.634 0.267 0.049
O 0.000 0.000 0.500
O 0.000 0.000 0.000
O 0.771 0.541 0.572
O 0.771 0.541 0.928
O 0.628 0.255 0.250
O 0.372 0.745 0.750
O 0.229 0.459 0.428
O 0.229 0.459 0.072
Pb 0.739 0.477 0.750
Pb 0.261 0.523 0.250
! DOS at the Fermi energy = 0.204 states/eV per atom
! Space-group type = Cmcm, No. 63
! Calculated volume = 23.03 Å³ per atom
! Uncorrected formation energy = -2.188 eV/atom

=====

No. 19
! TeAs2I8 (GGA-PBE, optimized geometry); values from VASP
&SYSTEM
  ibrav = 0, nat = 11, ntyp = 3
/
ATOMIC_SPECIES
I 126.90 I.upf
As 74.92 As.upf
Te 127.60 Te.upf
CELL_PARAMETERS angstrom
-4.181 -6.233 -3.475
4.740 0.937 -7.427
7.379 -4.902 -0.128
ATOMIC_POSITIONS crystal
I 0.840 0.332 0.883
I 0.644 0.383 0.383
I 0.840 0.883 0.332
I 0.356 0.617 0.617
I 0.160 0.117 0.668
I 0.160 0.668 0.117
I 0.614 0.853 0.853
I 0.386 0.147 0.147
As 0.680 0.207 0.207
As 0.320 0.793 0.793
Te 0.000 0.000 0.000
! Space-group type = C2/m, No. 12
! Calculated volume = 54.11 Å³ per atom
! Uncorrected formation energy = -0.060 eV/atom

=====

No. 20
! Sm3Y2ThTe6 (GGA-PBE, optimized geometry); values from VASP
&SYSTEM
  ibrav = 0, nat = 12, ntyp = 4
/
ATOMIC_SPECIES
Te 127.60 Te.upf
Y 88.91 Y.upf
Sm 150.36 Sm.upf
Th 232.04 Th.upf
CELL_PARAMETERS angstrom
-0.348 -4.283 0.899
7.411 -1.587 -4.692
3.742 3.691 8.310
ATOMIC_POSITIONS crystal
Te 0.331 0.417 0.661
Te 0.996 0.743 0.992
Te 0.329 0.907 0.657
Te 0.671 0.093 0.343
Te 0.669 0.583 0.339
Te 0.004 0.257 0.008
Y 0.165 0.332 0.329
Y 0.835 0.668 0.671
Sm 0.159 0.837 0.319
Sm 0.841 0.163 0.681
Sm 0.500 0.500 0.000
Th 0.500 0.000 0.000
! DOS at the Fermi energy = 0.638 states/eV per atom
! Space-group type = C2/m, No. 12
! Calculated volume = 30.62 Å³ per atom
! Uncorrected formation energy = -1.292 eV/atom

=====

No. 21
! Y2Er3S8 (GGA-PBE, optimized geometry); values from VASP
&SYSTEM
  ibrav = 0, nat = 13, ntyp = 3
/
ATOMIC_SPECIES
S 32.06 S.upf
Er 167.26 Er.upf
Y 88.91 Y.upf
CELL_PARAMETERS angstrom
6.647 0.000 0.173
0.000 7.867 0.000
-2.489 -3.933 6.338
ATOMIC_POSITIONS crystal
S 0.074 0.884 0.769
S 0.913 0.619 0.238
S 0.413 0.889 0.246
S 0.926 0.116 0.231
S 0.587 0.643 0.754
S 0.413 0.357 0.246
S 0.587 0.111 0.754
S 0.087 0.381 0.762
Er 0.000 0.738 0.000
Er 0.500 0.000 0.000
Er 0.000 0.262 0.000
Y 0.659 0.738 0.476
Y 0.341 0.262 0.524
! DOS at the Fermi energy = 0.513 states/eV per atom
! Space-group type = C2/m, No. 12
! Calculated volume = 25.75 Å³ per atom
! Uncorrected formation energy = -1.890 eV/atom

=====

No. 22
! CrInSi4 (GGA-PBE, optimized geometry); values from VASP
&SYSTEM
  ibrav = 0, nat = 6, ntyp = 3
/
ATOMIC_SPECIES
Cr 52.00 Cr.upf
Si 28.09 Si.upf
In 114.82 In.upf
CELL_PARAMETERS angstrom
2.551 -4.376 1.148
-2.642 -4.317 1.164
-0.055 -3.987 -3.327
ATOMIC_POSITIONS crystal
Cr 0.750 0.750 0.750
Si 0.873 0.376 0.376
Si 0.376 0.873 0.376
Si 0.376 0.376 0.873
Si 0.376 0.376 0.376
In 0.000 0.000 0.000
! DOS at the Fermi energy = 0.481 states/eV per atom
! Space-group type = F-43m, No. 216
! Calculated volume = 16.51 Å³ per atom
! Uncorrected formation energy = 0.512 eV/atom